(1)
# CsCdNi2Sn

A geometry-optimized CsCdNi2Sn structure (PBE-GGA, Alexandria via LeMat-Bulk).

Cell lengths 4.8555, 4.8555, 6.4934 Å; angles 90.00, 90.00, 90.00 degrees
With the nearest neighbours (Å) after each atom.
Space group P4/mmm (No. 123)
Unique sites:
Cs 0.0000 0.0000 0.0000  4 Ni 2.43
Cd 0.5000 0.5000 0.5000  4 Sn 3.43
Ni 0.0000 0.5000 0.0000  2 Cs 2.43
Sn 0.0000 0.0000 0.5000  2 Cs 3.25, 4 Cd 3.43

Output
D(E_F), states/eV/cell: 2.9
Energy of formation, kJ/mol of atoms: 160.2
Final energy, eV/atom: -1.806


(2)
# CsSr2CdNi

A geometry-optimized CsSr2CdNi structure (PBE-GGA, Alexandria via LeMat-Bulk).

Cell lengths 5.8099, 5.8099, 6.4381 Å; angles 90.00, 90.00, 90.00 degrees
With the nearest neighbours (Å) after each atom.
Space group P4/mmm (No. 123)
Unique sites:
Cs 0.0000 0.0000 0.0000  2 Ni 3.22
Sr 0.0000 0.5000 0.5000  2 Ni 2.90
Cd 0.5000 0.5000 0.0000  4 Cs 4.11, 8 Sr 4.34
Ni 0.0000 0.0000 0.5000  4 Sr 2.90, 2 Cs 3.22

Output
D(E_F), states/eV/cell: 2.9
Energy of formation, kJ/mol of atoms: 19.6
Final energy, eV/atom: -1.979


(3)
# CsTlCd2Ni

A geometry-optimized CsTlCd2Ni structure (PBE-GGA, Alexandria via LeMat-Bulk).

Cell lengths 5.3200, 5.3200, 5.1888 Å; angles 90.00, 90.00, 90.00 degrees
With the nearest neighbours (Å) after each atom.
Space group P4/mmm (No. 123)
Unique sites:
Cs 0.0000 0.0000 0.0000  8 Cd 3.72, 4 Tl 3.76
Tl 0.5000 0.5000 0.0000  2 Ni 2.59
Cd 0.0000 0.5000 0.5000  2 Ni 2.66
Ni 0.5000 0.5000 0.5000  2 Tl 2.59, 4 Cd 2.66

Output
D(E_F), states/eV/cell: 1.7
Energy of formation, kJ/mol of atoms: 1.4
Final energy, eV/atom: -2.152


(4)
# CsTl2CdNi

A geometry-optimized CsTl2CdNi structure (PBE-GGA, Alexandria via LeMat-Bulk).

Cell lengths 5.2946, 5.2946, 5.3685 Å; angles 90.00, 90.00, 90.00 degrees
With the nearest neighbours (Å) after each atom.
Space group P4/mmm (No. 123)
Unique sites:
Cs 0.0000 0.0000 0.0000  4 Cd 3.74, 8 Tl 3.77
Tl 0.0000 0.5000 0.5000  2 Ni 2.65
Cd 0.5000 0.5000 0.0000  2 Ni 2.68
Ni 0.5000 0.5000 0.5000  4 Tl 2.65, 2 Cd 2.68

Output
D(E_F), states/eV/cell: 2.7
Energy of formation, kJ/mol of atoms: 3.3
Final energy, eV/atom: -2.422


What is the D(E_F) in the third record?
1.7 states/eV/cell